# Bi2O3, optimized geometry, DFT PBE-GGA
data_Bi2O3
_chemical_formula_sum 'Bi8 O12'
_cell_length_a 9.628
_cell_length_b 5.858
_cell_length_c 6.222
_cell_angle_alpha 90.00
_cell_angle_beta 90.00
_cell_angle_gamma 90.00
_symmetry_space_group_name_H-M 'P b c n'
_symmetry_Int_Tables_number 60
_symmetry_space_group_name_Hall '-P 2n 2ab'
loop_
_atom_site_label
_atom_site_type_symbol
_atom_site_fract_x
_atom_site_fract_y
_atom_site_fract_z
Bi1 Bi 0.102 0.245 0.033
O1 O 0.000 0.448 0.750
O2 O 0.111 0.122 0.402
# Formation energy (no corrections): -1.194 eV per atom
# Density of states at the Fermi level: 0.000 states/eV/f.u.